TbNd2ScAs4 | PBE | relaxed

## Properties
ΔE_f: -1456 meV/atom
N(E_F): 0.773 states/eV per cell
Calculated density: 6.52 g/cm3
Volume: 201.77 Å³ per cell
Spin magnetization: 0.00 μB per formula unit

Cell lengths 4.1546, 7.1845, 7.1718 Å; angles 109.52, 90.00, 90.00 degrees
Positions (direct):
As 0.5000 0.2370 0.2316
As 0.5000 0.7630 0.7684
As 0.0000 0.7524 0.2366
As 0.0000 0.2476 0.7634
Nd 0.5000 0.0000 0.5000
Nd 0.0000 0.5000 0.5000
Sc 0.0000 0.0000 0.0000
Tb 0.5000 0.5000 0.0000

***

Tb2NdScAs4 | PBE | relaxed

## Properties
ΔE_f: -1456 meV/atom
N(E_F): 0.726 states/eV per cell
Calculated density: 6.79 g/cm3
Volume: 197.32 Å³ per cell
Spin magnetization: 0.00 μB per formula unit

Cell lengths 4.1216, 7.1211, 7.1307 Å; angles 109.47, 90.00, 90.00 degrees
Positions (direct):
As 0.0000 0.2394 0.7495
As 0.5000 0.2371 0.2426
As 0.0000 0.7606 0.2505
As 0.5000 0.7629 0.7574
Nd 0.5000 0.5000 0.0000
Tb 0.0000 0.5000 0.5000
Tb 0.5000 0.0000 0.5000
Sc 0.0000 0.0000 0.0000

***

Nd3Th2ScAs6 | PBE | relaxed

## Properties
ΔE_f: -1444 meV/atom
N(E_F): 4.176 states/eV per cell
Calculated density: 7.28 g/cm3
Volume: 317.41 Å³ per cell
Spin magnetization: 0.00 μB per formula unit

Cell lengths 4.2215, 8.4206, 9.4284 Å; angles 103.31, 102.94, 90.00 degrees
Positions (direct):
Nd 0.1671 0.8346 0.3343
Nd 0.5000 0.5000 0.0000
Nd 0.8329 0.1654 0.6657
As 0.6601 0.0804 0.3202
As 0.3320 0.4189 0.6641
As 0.9992 0.2338 0.9984
As 0.6680 0.5811 0.3359
As 0.3399 0.9196 0.6798
As 0.0008 0.7662 0.0016
Th 0.8366 0.6720 0.6733
Th 0.1634 0.3280 0.3267
Sc 0.5000 0.0000 0.0000